#a
The following is a DFT calculation (PBE) of a relaxed BSbOs3 crystal.

abc: 4.1638 4.1638 4.1638
angles: 90.00 90.00 90.00
Closest atoms and distances in Å follow each position.
Element x y z (fractional)
B  0.0000  0.0000  0.0000  6 Os 2.08
Sb  0.5000  0.5000  0.5000  12 Os 2.94
Os  0.0000  0.0000  0.5000  2 B 2.08
Os  0.0000  0.5000  0.0000  2 B 2.08
Os  0.5000  0.0000  0.0000  2 B 2.08

Values from the calculation:
Spin magnetization in μB per cell: 0.00

---

#b
The following is a DFT calculation (PBE) of a relaxed BSbOs3 crystal.

abc: 4.8647 4.8647 4.8647
angles: 90.00 90.00 90.00
Closest atoms and distances in Å follow each position.
Element x y z (fractional)
B  0.0000  0.0000  0.0000  12 Os 3.44
Sb  0.5000  0.5000  0.5000  6 Os 2.43
Os  0.0000  0.5000  0.5000  2 Sb 2.43
Os  0.5000  0.0000  0.5000  2 Sb 2.43
Os  0.5000  0.5000  0.0000  2 Sb 2.43

Values from the calculation:
Spin magnetization in μB per cell: 3.85

---

Energetically preferred structure: #a | next structure: +2.923 eV/atom

---

#a
The following is a DFT calculation (PBE) of a relaxed B2Sb2Os crystal.

abc: 8.2327 8.2327 8.2327
angles: 158.43 158.43 30.69
Closest atoms and distances in Å follow each position.
Element x y z (fractional)
B  0.2500  0.7500  0.5000  4 B 2.18
B  0.7500  0.2500  0.5000  4 B 2.18
Sb  0.1123  0.1123  0.0000  4 B 2.67, 4 Os 2.81
Sb  0.8877  0.8877  0.0000  4 B 2.67, 4 Os 2.81
Os  0.5000  0.5000  0.0000  8 Sb 2.81, 4 Os 3.08

Values from the calculation:
Spin magnetization in μB per cell: 0.00

---

#b
The following is a DFT calculation (PBE) of a relaxed B2Sb2Os crystal.

abc: 7.0168 7.0168 3.2752
angles: 90.00 90.00 90.00
Closest atoms and distances in Å follow each position.
Element x y z (fractional)
B  0.1750  0.3250  0.0000  2 Sb 2.40
B  0.3250  0.8250  0.0000  2 Sb 2.40
B  0.6750  0.1750  0.0000  2 Sb 2.40
B  0.8250  0.6750  0.0000  2 Sb 2.40
Sb  0.1486  0.6486  0.5000  2 B 2.40, 2 Os 2.68
Sb  0.3514  0.1486  0.5000  2 B 2.40, 2 Os 2.68
Sb  0.6486  0.8514  0.5000  2 B 2.40, 2 Os 2.68
Sb  0.8514  0.3514  0.5000  2 B 2.40, 2 Os 2.68
Os  0.0000  0.0000  0.5000  4 Sb 2.68
Os  0.5000  0.5000  0.5000  4 Sb 2.68

Values from the calculation:
Spin magnetization in μB per cell: 0.00

---

Energetically preferred structure: #a | next structure: +0.524 eV/atom

---

#a
The following is a DFT calculation (PBE) of a relaxed BSbTe2Os crystal.

abc: 5.3651 5.3651 5.0005
angles: 90.00 90.00 90.00
Closest atoms and distances in Å follow each position.
Element x y z (fractional)
B  0.0000  0.0000  0.0000  8 Te 3.67, 4 Sb 3.79
Sb  0.5000  0.5000  0.0000  2 Os 2.50
Te  0.0000  0.5000  0.5000  2 Os 2.68
Te  0.5000  0.0000  0.5000  2 Os 2.68
Os  0.5000  0.5000  0.5000  2 Sb 2.50, 4 Te 2.68

Values from the calculation:
Spin magnetization in μB per cell: 0.00

---

#b
The following is a DFT calculation (PBE) of a relaxed BSbTe2Os crystal.

abc: 4.6597 4.6597 4.5896
angles: 90.00 90.00 90.00
Closest atoms and distances in Å follow each position.
Element x y z (fractional)
B  0.0000  0.0000  0.0000  2 Sb 2.29, 4 Te 2.33
Sb  0.0000  0.0000  0.5000  2 B 2.29
Te  0.0000  0.5000  0.0000  2 B 2.33
Te  0.5000  0.0000  0.0000  2 B 2.33
Os  0.5000  0.5000  0.5000  8 Te 3.27, 4 Sb 3.29

Values from the calculation:
Spin magnetization in μB per cell: 0.00

---

Energetically preferred structure: #b | next structure: +0.260 eV/atom

---

#a
The following is a DFT calculation (PBE) of a relaxed BSb2TeOs crystal.

abc: 4.6262 4.6262 4.6593
angles: 90.00 90.00 90.00
Closest atoms and distances in Å follow each position.
Element x y z (fractional)
B  0.0000  0.0000  0.0000  4 Sb 2.31, 2 Te 2.33
Sb  0.0000  0.5000  0.0000  2 B 2.31
Sb  0.5000  0.0000  0.0000  2 B 2.31
Te  0.0000  0.0000  0.5000  2 B 2.33
Os  0.5000  0.5000  0.5000  4 Te 3.27, 8 Sb 3.28

Values from the calculation:
Spin magnetization in μB per cell: 0.00

---

#b
The following is a DFT calculation (PBE) of a relaxed BSb2TeOs crystal.

abc: 5.0099 5.0099 5.7159
angles: 90.00 90.00 90.00
Closest atoms and distances in Å follow each position.
Element x y z (fractional)
B  0.0000  0.0000  0.0000  4 Te 3.54, 8 Sb 3.80
Sb  0.0000  0.5000  0.5000  2 Os 2.50
Sb  0.5000  0.0000  0.5000  2 Os 2.50
Te  0.5000  0.5000  0.0000  2 Os 2.86
Os  0.5000  0.5000  0.5000  4 Sb 2.50

Values from the calculation:
Spin magnetization in μB per cell: 0.00

---

Energetically preferred structure: #a | next structure: +0.218 eV/atom